# 1
NdThTeS | PBE-GGA | optimized geometry

The structure in CIF format:
```
data_NdThTeS
_chemical_formula_sum 'Nd2 Th2 Te2 S2'
_symmetry_space_group_name_H-M 'C 1 m 1'
_symmetry_Int_Tables_number 8
_symmetry_space_group_name_Hall 'C -2y'
_cell_length_a 7.085
_cell_length_b 4.083
_cell_length_c 8.007
_cell_angle_alpha 90.00
_cell_angle_beta 107.21
_cell_angle_gamma 90.00
loop_
_atom_site_label
_atom_site_fract_x
_atom_site_fract_y
_atom_site_fract_z
Nd1 0.000 0.000 0.000
Th1 0.192 0.000 0.574
Te1 0.428 0.000 0.285
S1 0.097 0.500 0.789
```

***

# 2
NdThTe2S | PBE-GGA | optimized geometry

The structure in CIF format:
```
data_NdThTe2S
_chemical_formula_sum 'Nd2 Th2 Te4 S2'
_symmetry_space_group_name_H-M 'P 4/n m m'
_symmetry_Int_Tables_number 129
_cell_length_a 4.520
_cell_length_b 4.520
_cell_length_c 15.617
_cell_angle_alpha 90.00
_cell_angle_beta 90.00
_cell_angle_gamma 90.00
loop_
_symmetry_equiv_pos_as_xyz
'x,y,z'
'-x,-y,-z'
'-y+1/2,x,z'
'y+1/2,-x,-z'
'-x+1/2,-y+1/2,z'
'x+1/2,y+1/2,-z'
'y,-x+1/2,z'
'-y,x+1/2,-z'
'x+1/2,-y,-z'
'-x+1/2,y,z'
'-y,-x,-z'
'y,x,z'
'-x,y+1/2,-z'
'x,-y+1/2,z'
'y+1/2,x+1/2,-z'
'-y+1/2,-x+1/2,z'
loop_
_atom_site_label
_atom_site_fract_x
_atom_site_fract_y
_atom_site_fract_z
Nd1 0.250 0.250 0.101
Th1 0.250 0.250 0.600
Te1 0.250 0.250 0.388
Te2 0.250 0.250 0.794
S1 0.250 0.750 0.000
```

***

# 3
NdTl2TeS4 | PBE-GGA | optimized geometry

The structure in CIF format:
```
data_NdTl2TeS4
_chemical_formula_sum 'Nd1 Tl2 Te1 S4'
_symmetry_space_group_name_H-M 'P 1 2/m 1'
_symmetry_Int_Tables_number 10
_symmetry_space_group_name_Hall '-P 2y'
_cell_length_a 7.445
_cell_length_b 4.061
_cell_length_c 7.858
_cell_angle_alpha 90.00
_cell_angle_beta 109.74
_cell_angle_gamma 90.00
loop_
_atom_site_label
_atom_site_fract_x
_atom_site_fract_y
_atom_site_fract_z
Nd1 0.000 0.000 0.000
Tl1 0.000 0.500 0.500
Tl2 0.500 0.000 0.500
Te1 0.500 0.500 0.000
S1 0.209 0.500 0.232
S2 0.279 0.000 0.809
```

***

# 4
NdTmTeS | PBE-GGA | optimized geometry

The structure in CIF format:
```
data_NdTmTeS
_chemical_formula_sum 'Nd3 Tm3 Te3 S3'
_symmetry_space_group_name_H-M 'R 3 m'
_symmetry_Int_Tables_number 160
_symmetry_space_group_name_Hall 'R 3 -2"'
_cell_length_a 3.9973
_cell_length_b 3.9973
_cell_length_c 22.7690
_cell_angle_alpha 90.00
_cell_angle_beta 90.00
_cell_angle_gamma 120.00
loop_
_atom_site_label
_atom_site_fract_x
_atom_site_fract_y
_atom_site_fract_z
Nd1 0.0000 0.0000 0.0000
Tm1 0.0000 0.0000 0.1542
Te1 0.0000 0.0000 0.5716
S1 0.0000 0.0000 0.7513
```

***

# 5
NdUTe2S | PBE-GGA | optimized geometry

The structure in CIF format:
```
data_NdUTe2S
_chemical_formula_sum 'Nd2 U2 Te4 S2'
_symmetry_space_group_name_H-M 'P 4/n m m'
_symmetry_Int_Tables_number 129
_cell_length_a 4.478
_cell_length_b 4.478
_cell_length_c 15.481
_cell_angle_alpha 90.00
_cell_angle_beta 90.00
_cell_angle_gamma 90.00
loop_
_symmetry_equiv_pos_as_xyz
'x,y,z'
'-x,-y,-z'
'-y+1/2,x,z'
'y+1/2,-x,-z'
'-x+1/2,-y+1/2,z'
'x+1/2,y+1/2,-z'
'y,-x+1/2,z'
'-y,x+1/2,-z'
'x+1/2,-y,-z'
'-x+1/2,y,z'
'-y,-x,-z'
'y,x,z'
'-x,y+1/2,-z'
'x,-y+1/2,z'
'y+1/2,x+1/2,-z'
'-y+1/2,-x+1/2,z'
loop_
_atom_site_label
_atom_site_fract_x
_atom_site_fract_y
_atom_site_fract_z
Nd1 0.250 0.250 0.104
U1 0.250 0.250 0.601
Te1 0.250 0.250 0.397
Te2 0.250 0.250 0.792
S1 0.250 0.750 0.000
```

***

# 6
NdYTe2S | PBE-GGA | optimized geometry

The structure in CIF format:
```
data_NdYTe2S
_chemical_formula_sum 'Nd2 Y2 Te4 S2'
_symmetry_space_group_name_H-M 'P 4/n m m'
_symmetry_Int_Tables_number 129
_cell_length_a 4.462
_cell_length_b 4.462
_cell_length_c 15.733
_cell_angle_alpha 90.00
_cell_angle_beta 90.00
_cell_angle_gamma 90.00
loop_
_symmetry_equiv_pos_as_xyz
'x,y,z'
'-x,-y,-z'
'-y+1/2,x,z'
'y+1/2,-x,-z'
'-x+1/2,-y+1/2,z'
'x+1/2,y+1/2,-z'
'y,-x+1/2,z'
'-y,x+1/2,-z'
'x+1/2,-y,-z'
'-x+1/2,y,z'
'-y,-x,-z'
'y,x,z'
'-x,y+1/2,-z'
'x,-y+1/2,z'
'y+1/2,x+1/2,-z'
'-y+1/2,-x+1/2,z'
loop_
_atom_site_label
_atom_site_fract_x
_atom_site_fract_y
_atom_site_fract_z
Nd1 0.250 0.250 0.105
Y1 0.250 0.250 0.611
Te1 0.250 0.250 0.408
Te2 0.250 0.250 0.796
S1 0.250 0.750 0.000
```

***

# 7
Nd2YTe2S2 | PBE-GGA | optimized geometry

The structure in CIF format:
```
data_Nd2YTe2S2
_chemical_formula_sum 'Nd4 Y2 Te4 S4'
_symmetry_space_group_name_H-M 'I 4/m m m'
_symmetry_Int_Tables_number 139
_symmetry_space_group_name_Hall '-I 4 2'
_cell_length_a 5.065
_cell_length_b 5.065
_cell_length_c 16.105
_cell_angle_alpha 90.00
_cell_angle_beta 90.00
_cell_angle_gamma 90.00
loop_
_atom_site_label
_atom_site_fract_x
_atom_site_fract_y
_atom_site_fract_z
Nd1 0.000 0.000 0.116
Y1 0.000 0.000 0.500
Te1 0.000 0.000 0.314
S1 0.000 0.500 0.000
```

***

# 8
Nd4ZnTe2S | PBE-GGA | optimized geometry

The structure in CIF format:
```
data_Nd4ZnTe2S
_chemical_formula_sum 'Nd4 Zn1 Te2 S1'
_symmetry_space_group_name_H-M 'P 1 2/m 1'
_symmetry_Int_Tables_number 10
_symmetry_space_group_name_Hall '-P 2y'
_cell_length_a 7.525
_cell_length_b 4.227
_cell_length_c 7.678
_cell_angle_alpha 90.00
_cell_angle_beta 108.21
_cell_angle_gamma 90.00
loop_
_atom_site_label
_atom_site_fract_x
_atom_site_fract_y
_atom_site_fract_z
Nd1 0.234 0.000 0.219
Nd2 0.256 0.500 0.770
Zn1 0.500 0.000 0.000
Te1 0.000 0.000 0.500
Te2 0.500 0.500 0.500
S1 0.000 0.500 0.000
```

***

# 9
Nd8ZnTe4S3 | PBE-GGA | optimized geometry

The structure in CIF format:
```
data_Nd8ZnTe4S3
_chemical_formula_sum 'Nd24 Zn3 Te12 S9'
_symmetry_space_group_name_H-M 'R -3 m'
_symmetry_Int_Tables_number 166
_symmetry_space_group_name_Hall '-R 3 2"'
_cell_length_a 8.5028
_cell_length_b 8.5028
_cell_length_c 21.7700
_cell_angle_alpha 90.00
_cell_angle_beta 90.00
_cell_angle_gamma 120.00
loop_
_atom_site_label
_atom_site_fract_x
_atom_site_fract_y
_atom_site_fract_z
Nd1 0.0000 0.0000 0.2361
Nd2 0.0047 0.5023 0.7602
Zn1 0.0000 0.0000 0.5000
Te1 0.0000 0.0000 0.0000
Te2 0.0000 0.5000 0.0000
S1 0.0000 0.5000 0.5000
```

***

# 10
Nd4ThS5 | PBE-GGA | optimized geometry

The structure in CIF format:
```
data_Nd4ThS5
_chemical_formula_sum 'Nd8 Th2 S10'
_symmetry_space_group_name_H-M 'I m m m'
_symmetry_Int_Tables_number 71
_symmetry_space_group_name_Hall '-I 2 2'
_cell_length_a 4.058
_cell_length_b 5.747
_cell_length_c 20.347
_cell_angle_alpha 90.00
_cell_angle_beta 90.00
_cell_angle_gamma 90.00
loop_
_atom_site_label
_atom_site_fract_x
_atom_site_fract_y
_atom_site_fract_z
Nd1 0.000 0.000 0.100
Nd2 0.000 0.000 0.302
Th1 0.000 0.000 0.500
S1 0.000 0.500 0.099
S2 0.000 0.500 0.299
S3 0.000 0.500 0.500
```

***

# 11
Nd2ThS5 | PBE-GGA | optimized geometry

The structure in CIF format:
```
data_Nd2ThS5
_chemical_formula_sum 'Nd8 Th4 S20'
_symmetry_space_group_name_H-M 'P n m a'
_symmetry_Int_Tables_number 62
_symmetry_space_group_name_Hall '-P 2ac 2n'
_cell_length_a 12.103
_cell_length_b 8.242
_cell_length_c 7.586
_cell_angle_alpha 90.00
_cell_angle_beta 90.00
_cell_angle_gamma 90.00
loop_
_atom_site_label
_atom_site_fract_x
_atom_site_fract_y
_atom_site_fract_z
Nd1 0.178 0.001 0.016
Th1 0.009 0.750 0.576
S1 0.001 0.750 0.958
S2 0.101 0.043 0.660
S3 0.186 0.750 0.326
S4 0.217 0.250 0.298
```

***

# 12
Nd5Th3S8 | PBE-GGA | optimized geometry

The structure in CIF format:
```
data_Nd5Th3S8
_chemical_formula_sum 'Nd15 Th9 S24'
_symmetry_space_group_name_H-M 'R -3 m'
_symmetry_Int_Tables_number 166
_symmetry_space_group_name_Hall '-R 3 2"'
_cell_length_a 8.0867
_cell_length_b 8.0867
_cell_length_c 19.9983
_cell_angle_alpha 90.00
_cell_angle_beta 90.00
_cell_angle_gamma 120.00
loop_
_atom_site_label
_atom_site_fract_x
_atom_site_fract_y
_atom_site_fract_z
Nd1 0.0000 0.0000 0.0000
Nd2 0.0000 0.0000 0.5000
Nd3 0.0000 0.5000 0.0000
Th1 0.0000 0.5000 0.5000
S1 0.0000 0.0000 0.2500
S2 0.0007 0.5004 0.7503
```

***

Computed VASP energy, in the same sequence as the records: -51.30 -59.03 -34.72 -67.88 -63.89 -58.30 -81.93 -41.01 -265.63 -133.83 -216.08 -331.04 eV/cell.
Computed theoretical density, in the same sequence as the records: 8.05 6.91 6.01 7.48 7.16 5.52 5.60 6.65 6.67 6.78 5.98 7.36 g/cm3.